(1)
Entry from Alexandria via LeMat-Bulk: a relaxed structure of TlCdAs2 (PBE-GGA).

Lattice parameters (Å, degrees): 3.516 3.516 7.976 90.00 90.00 90.00
Fractional coordinates of all 4 atoms:
Tl1 0.000 0.000 0.000
Cd1 0.500 0.500 0.719
As1 0.000 0.000 0.460
As2 0.500 0.500 0.328

**Total energy**: -3.04 eV per atom
**Mass density**: 7.9 Mg/m³
**E_form**: 0.110 eV/atom
**Crystal system**: tetragonal

***

(2)
Entry from Alexandria via LeMat-Bulk: a relaxed structure of TlCdAs3 (PBE-GGA).

Lattice parameters (Å, degrees): 5.271 5.271 5.271 90.00 90.00 90.00
Fractional coordinates of all 5 atoms:
Tl1 0.000 0.000 0.000
Cd1 0.500 0.500 0.500
As1 0.000 0.500 0.500
As2 0.500 0.000 0.500
As3 0.500 0.500 0.000

**Total energy**: -2.70 eV per atom
**Mass density**: 6.1 Mg/m³
**E_form**: 0.743 eV/atom
**Crystal system**: cubic